Record 1
Density functional theory data (GGA-PBE) for Rb7Au3F after structural relaxation.

Cell: 11.1778 16.0138 11.4092 Å, 90.00 90.00 90.00°
Space group C222_1 (No. 20)
Asymmetric unit:
Rb 0.0000 0.0517 0.2500 [4 per cell]
Rb 0.0000 0.3641 0.2500 [4 per cell]
Rb 0.0000 0.3694 0.7500 [4 per cell]
Rb 0.1953 0.1233 0.9656 [8 per cell]
Rb 0.1959 0.1235 0.5331 [8 per cell]
Au 0.9998 0.5000 0.0000 [4 per cell]
Au 0.2174 0.2154 0.2491 [8 per cell]
F 0.9999 0.0000 0.0000 [4 per cell]

Summary:
Formation energy without anion corrections = -0.596 eV/atom
Spin magnetization = 0.000 μB per formula unit
E_tot = -2.276 eV/atom
N(E_F) = 0.59 states/eV/atom

---

Record 2
Density functional theory data (GGA-PBE) for GdPF after structural relaxation.

Cell: 3.9550 3.9550 4.1756 Å, 90.00 90.00 120.00°
Space group P-6m2 (No. 187)
Asymmetric unit:
Gd 0.0000 0.0000 0.0000 [1 per cell]
P 0.3333 0.6667 0.5000 [1 per cell]
F 0.6667 0.3333 0.0000 [1 per cell]

Summary:
Formation energy without anion corrections = -2.026 eV/atom
Spin magnetization = 6.731 μB per formula unit
E_tot = -9.147 eV/atom
N(E_F) = 0.69 states/eV/atom

---

Record 3
Density functional theory data (GGA-PBE) for SbPC after structural relaxation.

Cell: 4.1956 5.4881 6.1287 Å, 114.21 97.05 103.93°
Space group P1 (No. 1)
Asymmetric unit:
Sb 0.0000 0.0000 0.0000 [1 per cell]
Sb 0.3046 0.5596 0.6503 [1 per cell]
P 0.6401 0.2342 0.3292 [1 per cell]
P 0.8842 0.7491 0.2754 [1 per cell]
C 0.2976 0.8137 0.4534 [1 per cell]
C 0.5862 0.9365 0.4010 [1 per cell]

Summary:
Formation energy without anion corrections = 0.544 eV/atom
Spin magnetization = 0.000 μB per formula unit
E_tot = -5.708 eV/atom
N(E_F) = 0.33 states/eV/atom

---

Record 4
Density functional theory data (GGA-PBE) for Li9AcMg3 after structural relaxation.

Cell: 5.9283 14.3893 7.5980 Å, 90.00 109.93 90.00°
Space group C2/m (No. 12)
Asymmetric unit:
Li 0.0000 0.0000 0.0000 [2 per cell]
Li 0.1006 0.1086 0.7212 [8 per cell]
Li 0.1646 0.3210 0.8562 [8 per cell]
Ac 0.0000 0.5000 0.5000 [2 per cell]
Mg 0.0000 0.5000 0.0000 [2 per cell]
Mg 0.2500 0.2500 0.5000 [4 per cell]

Summary:
DFT formation energy = 0.007 eV/atom
Spin magnetization = 0.000 μB per formula unit
E_tot = -2.002 eV/atom
N(E_F) = 0.56 states/eV/atom

---

Record 5
Density functional theory data (GGA-PBE) for Si2BI after structural relaxation.

Cell: 3.9259 3.5060 6.2015 Å, 90.00 96.16 90.00°
Space group Pm (No. 6)
Asymmetric unit:
Si 0.0000 0.0000 0.0000 [1 per cell]
Si 0.2863 0.5000 0.7901 [1 per cell]
B 0.4938 0.0000 0.8928 [1 per cell]
I 0.9843 0.5000 0.3785 [1 per cell]

Summary:
Formation energy without anion corrections = 0.466 eV/atom
Spin magnetization = 0.000 μB per formula unit
E_tot = -4.302 eV/atom
N(E_F) = 0.24 states/eV/atom

---

Record 6
Density functional theory data (GGA-PBE) for YP3Pd5 after structural relaxation.

Cell: 3.9026 13.3051 11.7711 Å, 90.00 90.00 90.00°
Space group Cmcm (No. 63)
Asymmetric unit:
Y 0.0000 0.1086 0.2500 [4 per cell]
P 0.0000 0.1435 0.7500 [4 per cell]
P 0.0000 0.4095 0.5746 [8 per cell]
Pd 0.0000 0.0000 0.0000 [4 per cell]
Pd 0.0000 0.2376 0.5837 [8 per cell]
Pd 0.0000 0.4072 0.1353 [8 per cell]

Summary:
DFT formation energy = -0.632 eV/atom
Spin magnetization = 0.000 μB per formula unit
E_tot = -6.038 eV/atom
N(E_F) = 0.46 states/eV/atom